Record 1
TaPtO2 meta-GGA SCAN single point on PBEsol structure; electronic total energy = -37.6388 eV/atom; uncorrected formation energy = -329 meV/atom; offset from the most stable computed form = 319.0 kJ/mol of formula units
1.0
5.6071 0.0000 0.0000
0.0000 5.6071 0.0000
0.0000 0.0000 5.6071
Ta Pt O
4 4 8
direct
0.0000 0.0000 0.0000
0.0000 0.5000 0.5000
0.5000 0.0000 0.5000
0.5000 0.5000 0.0000
0.0000 0.0000 0.5000
0.0000 0.5000 0.0000
0.5000 0.0000 0.0000
0.5000 0.5000 0.5000
0.2500 0.2500 0.2500
0.2500 0.2500 0.7500
0.2500 0.7500 0.2500
0.2500 0.7500 0.7500
0.7500 0.2500 0.2500
0.7500 0.2500 0.7500
0.7500 0.7500 0.2500
0.7500 0.7500 0.7500

Record 2
RbFeAg3 meta-GGA SCAN single point on PBEsol structure; electronic total energy = -26.0597 eV/atom; energy relative to the elements = 0.534 eV per atom
1.0
4.9920 0.0000 0.0000
0.0000 4.9920 0.0000
0.0000 0.0000 4.9920
Rb Fe Ag
1 1 3
direct
0.0000 0.0000 0.0000
0.5000 0.5000 0.5000
0.0000 0.5000 0.5000
0.5000 0.0000 0.5000
0.5000 0.5000 0.0000

Record 3
Y2Mg3Cu meta-GGA SCAN single point on PBEsol structure; electronic total energy = -14.4008 eV/atom; energy relative to the elements = -0.100 eV per atom; offset from the most stable computed form = 2.9 kJ/mol of formula units
1.0
5.8510 0.0000 0.0000
-2.9255 5.0671 0.0000
0.0000 0.0000 9.0987
Y Mg Cu
4 6 2
direct
0.3333 0.6667 0.0588
0.3333 0.6667 0.4412
0.6667 0.3333 0.5588
0.6667 0.3333 0.9412
0.1636 0.3272 0.7500
0.1636 0.8364 0.7500
0.3272 0.1636 0.2500
0.6728 0.8364 0.7500
0.8364 0.1636 0.2500
0.8364 0.6728 0.2500
0.0000 0.0000 0.0000
0.0000 0.0000 0.5000

Record 4
KPRhO2 meta-GGA SCAN single point on PBEsol structure; electronic total energy = -13.2167 eV/atom; uncorrected formation energy = -224 meV/atom; offset from the most stable computed form = 0.0 kJ/mol of formula units
1.0
4.1088 0.0000 0.0000
0.0000 4.1088 0.0000
0.0000 0.0000 4.4444
K P Rh O
1 1 1 2
direct
0.0000 0.0000 0.0000
0.5000 0.5000 0.0000
0.5000 0.5000 0.5000
0.0000 0.5000 0.5000
0.5000 0.0000 0.5000

Record 5
MgCr2Te meta-GGA SCAN single point on PBEsol structure; electronic total energy = -19.3572 eV/atom; uncorrected formation energy = 391 meV/atom
1.0
6.2774 0.0000 0.0000
0.0000 6.2774 0.0000
0.0000 0.0000 6.2774
Mg Cr Te
4 8 4
direct
0.0000 0.0000 0.0000
0.0000 0.5000 0.5000
0.5000 0.0000 0.5000
0.5000 0.5000 0.0000
0.2500 0.2500 0.2500
0.2500 0.2500 0.7500
0.2500 0.7500 0.2500
0.2500 0.7500 0.7500
0.7500 0.2500 0.2500
0.7500 0.2500 0.7500
0.7500 0.7500 0.2500
0.7500 0.7500 0.7500
0.0000 0.0000 0.5000
0.0000 0.5000 0.0000
0.5000 0.0000 0.0000
0.5000 0.5000 0.5000

Record 6
Ba6Na2Ta2Mn2O17 meta-GGA SCAN single point on PBEsol structure; electronic total energy = -20.7905 eV/atom; uncorrected formation energy = -2813 meV/atom
1.0
5.8703 0.0000 0.0000
-2.9351 5.0838 0.0000
0.0000 0.0000 29.9582
Ba Na Ta Mn O
12 4 4 4 34
direct
0.0000 0.0000 0.0000
0.0000 0.0000 0.2500
0.0000 0.0000 0.5000
0.0000 0.0000 0.7500
0.3333 0.6667 0.0898
0.3333 0.6667 0.4102
0.3333 0.6667 0.6796
0.3333 0.6667 0.8204
0.6667 0.3333 0.1796
0.6667 0.3333 0.3204
0.6667 0.3333 0.5898
0.6667 0.3333 0.9102
0.0000 0.0000 0.1237
0.0000 0.0000 0.3763
0.0000 0.0000 0.6237
0.0000 0.0000 0.8763
0.3333 0.6667 0.2015
0.3333 0.6667 0.2985
0.6667 0.3333 0.7015
0.6667 0.3333 0.7985
0.3333 0.6667 0.5518
0.3333 0.6667 0.9482
0.6667 0.3333 0.0518
0.6667 0.3333 0.4482
0.0284 0.5142 0.2500
0.1736 0.3473 0.1692
0.1736 0.3473 0.3308
0.1736 0.8264 0.1692
0.1736 0.8264 0.3308
0.1769 0.3537 0.5720
0.1769 0.3537 0.9280
0.1769 0.8231 0.5720
0.1769 0.8231 0.9280
0.3333 0.6667 0.0039
0.3333 0.6667 0.4961
0.3473 0.1736 0.6692
0.3473 0.1736 0.8308
0.3537 0.1769 0.0720
0.3537 0.1769 0.4280
0.4858 0.5142 0.2500
0.4858 0.9716 0.2500
0.5142 0.0284 0.7500
0.5142 0.4858 0.7500
0.6463 0.8231 0.5720
0.6463 0.8231 0.9280
0.6527 0.8264 0.1692
0.6527 0.8264 0.3308
0.6667 0.3333 0.5039
0.6667 0.3333 0.9961
0.8231 0.1769 0.0720
0.8231 0.1769 0.4280
0.8231 0.6463 0.0720
0.8231 0.6463 0.4280
0.8264 0.1736 0.6692
0.8264 0.1736 0.8308
0.8264 0.6527 0.6692
0.8264 0.6527 0.8308
0.9716 0.4858 0.7500

Record 7
CoH2SeO5 meta-GGA SCAN single point on PBEsol structure; electronic total energy = -9.3692 eV/atom
1.0
3.4509 -4.0388 0.0000
3.4509 4.0388 0.0000
-3.2957 0.0000 6.7418
Co H Se O
2 4 2 10
direct
0.0000 0.5000 0.0000
0.5000 0.0000 0.5000
0.0341 0.1336 0.7000
0.1336 0.0341 0.2000
0.8664 0.9659 0.8000
0.9659 0.8664 0.3000
0.4202 0.5798 0.7500
0.5798 0.4202 0.2500
0.1236 0.8764 0.2500
0.2357 0.3134 0.1491
0.2928 0.6837 0.9299
0.3134 0.2357 0.6491
0.3163 0.7072 0.5701
0.6837 0.2928 0.4299
0.6866 0.7643 0.3509
0.7072 0.3163 0.0701
0.7643 0.6866 0.8509
0.8764 0.1236 0.7500

Record 8
Sb4Cl2O5 meta-GGA SCAN single point on PBEsol structure; electronic total energy = -19.1530 eV/atom; uncorrected formation energy = -1321 meV/atom
1.0
6.1420 0.0000 0.0000
0.0000 5.1398 0.0000
-1.6346 0.0000 13.4377
Sb Cl O
8 4 10
direct
0.1913 0.2224 0.0520
0.1913 0.2776 0.5520
0.2112 0.6089 0.2982
0.2112 0.8911 0.7982
0.7888 0.1089 0.2018
0.7888 0.3911 0.7018
0.8087 0.7224 0.4480
0.8087 0.7776 0.9480
0.4953 0.2072 0.3828
0.4953 0.2928 0.8828
0.5047 0.7072 0.1172
0.5047 0.7928 0.6172
0.0000 0.0000 0.5000
0.0000 0.5000 0.0000
0.0722 0.0096 0.9186
0.0722 0.4904 0.4186
0.0774 0.1721 0.7090
0.0774 0.3279 0.2090
0.9226 0.6721 0.7910
0.9226 0.8279 0.2910
0.9278 0.5096 0.5814
0.9278 0.9904 0.0814

no.,D(E_F) (states/eV/cell),calculated density (g/cm³)
1,10.156,15.374
2,1.787,6.206
3,9.853,3.869
4,3.991,4.536
5,8.514,6.871
6,0.000,5.994
7,0.000,3.886
8,0.000,4.994